Record 1
{"formula": "ReSiPd", "functional": "PBE", "state": "optimized geometry", "de_polymorph_kj_per_mol_atoms": 0.0, "crystal_system": "cubic", "cell": [[5.722, 0.000, 0.000], [0.000, 5.722, 0.000], [0.000, 0.000, 5.722]], "species": ["Re", "Re", "Re", "Re", "Si", "Si", "Si", "Si", "Pd", "Pd", "Pd", "Pd"], "frac_coords": [[0.000, 0.000, 0.000], [0.000, 0.500, 0.500], [0.500, 0.000, 0.500], [0.500, 0.500, 0.000], [0.250, 0.250, 0.750], [0.250, 0.750, 0.250], [0.750, 0.250, 0.250], [0.750, 0.750, 0.750], [0.000, 0.000, 0.500], [0.000, 0.500, 0.000], [0.500, 0.000, 0.000], [0.500, 0.500, 0.500]]}

***

Record 2
{"formula": "SmRePd", "functional": "PBE", "state": "optimized geometry", "de_polymorph_kj_per_mol_atoms": 52.0, "crystal_system": "cubic", "formation_energy_mev_per_atom": 1179, "cell": [[6.561, 0.000, 0.000], [0.000, 6.561, 0.000], [0.000, 0.000, 6.561]], "species": ["Sm", "Sm", "Sm", "Sm", "Re", "Re", "Re", "Re", "Pd", "Pd", "Pd", "Pd"], "frac_coords": [[0.000, 0.000, 0.000], [0.000, 0.500, 0.500], [0.500, 0.000, 0.500], [0.500, 0.500, 0.000], [0.250, 0.250, 0.250], [0.250, 0.750, 0.750], [0.750, 0.250, 0.750], [0.750, 0.750, 0.250], [0.250, 0.250, 0.750], [0.250, 0.750, 0.250], [0.750, 0.250, 0.250], [0.750, 0.750, 0.750]]}

***

Record 3
{"formula": "SmRePd", "functional": "PBE", "state": "optimized geometry", "de_polymorph_kj_per_mol_atoms": 0.0, "crystal_system": "cubic", "formation_energy_mev_per_atom": 640, "cell": [[6.507, 0.000, 0.000], [0.000, 6.507, 0.000], [0.000, 0.000, 6.507]], "species": ["Sm", "Sm", "Sm", "Sm", "Re", "Re", "Re", "Re", "Pd", "Pd", "Pd", "Pd"], "frac_coords": [[0.000, 0.000, 0.000], [0.000, 0.500, 0.500], [0.500, 0.000, 0.500], [0.500, 0.500, 0.000], [0.000, 0.000, 0.500], [0.000, 0.500, 0.000], [0.500, 0.000, 0.000], [0.500, 0.500, 0.500], [0.250, 0.250, 0.750], [0.250, 0.750, 0.250], [0.750, 0.250, 0.250], [0.750, 0.750, 0.750]]}

***

Record 4
{"formula": "ReSnPd2", "functional": "PBE", "state": "optimized geometry", "crystal_system": "cubic", "e_tot_ev_per_atom": -6.512, "cell": [[6.399, 0.000, 0.000], [0.000, 6.399, 0.000], [0.000, 0.000, 6.399]], "species": ["Re", "Re", "Re", "Re", "Sn", "Sn", "Sn", "Sn", "Pd", "Pd", "Pd", "Pd", "Pd", "Pd", "Pd", "Pd"], "frac_coords": [[0.000, 0.000, 0.000], [0.000, 0.500, 0.500], [0.500, 0.000, 0.500], [0.500, 0.500, 0.000], [0.250, 0.250, 0.750], [0.250, 0.750, 0.250], [0.750, 0.250, 0.250], [0.750, 0.750, 0.750], [0.000, 0.000, 0.500], [0.000, 0.500, 0.000], [0.250, 0.250, 0.250], [0.250, 0.750, 0.750], [0.500, 0.000, 0.000], [0.500, 0.500, 0.500], [0.750, 0.250, 0.750], [0.750, 0.750, 0.250]]}

***

Record 5
{"formula": "ReSnPd", "functional": "PBE", "state": "optimized geometry", "de_polymorph_kj_per_mol_atoms": 0.0, "crystal_system": "cubic", "cell": [[6.259, 0.000, 0.000], [0.000, 6.259, 0.000], [0.000, 0.000, 6.259]], "species": ["Re", "Re", "Re", "Re", "Sn", "Sn", "Sn", "Sn", "Pd", "Pd", "Pd", "Pd"], "frac_coords": [[0.000, 0.000, 0.000], [0.000, 0.500, 0.500], [0.500, 0.000, 0.500], [0.500, 0.500, 0.000], [0.250, 0.250, 0.250], [0.250, 0.750, 0.750], [0.750, 0.250, 0.750], [0.750, 0.750, 0.250], [0.250, 0.250, 0.750], [0.250, 0.750, 0.250], [0.750, 0.250, 0.250], [0.750, 0.750, 0.750]]}

***

Record 6
{"formula": "Re2SnPd", "functional": "PBE", "state": "optimized geometry", "crystal_system": "cubic", "e_tot_ev_per_atom": -8.082, "cell": [[6.388, 0.000, 0.000], [0.000, 6.388, 0.000], [0.000, 0.000, 6.388]], "species": ["Re", "Re", "Re", "Re", "Re", "Re", "Re", "Re", "Sn", "Sn", "Sn", "Sn", "Pd", "Pd", "Pd", "Pd"], "frac_coords": [[0.000, 0.000, 0.000], [0.000, 0.500, 0.500], [0.250, 0.250, 0.250], [0.250, 0.750, 0.750], [0.500, 0.000, 0.500], [0.500, 0.500, 0.000], [0.750, 0.250, 0.750], [0.750, 0.750, 0.250], [0.000, 0.000, 0.500], [0.000, 0.500, 0.000], [0.500, 0.000, 0.000], [0.500, 0.500, 0.500], [0.250, 0.250, 0.750], [0.250, 0.750, 0.250], [0.750, 0.250, 0.250], [0.750, 0.750, 0.750]]}

***

Record 7
{"formula": "TbRePd", "functional": "PBE", "state": "optimized geometry", "crystal_system": "cubic", "formation_energy_mev_per_atom": 567, "cell": [[6.422, 0.000, 0.000], [0.000, 6.422, 0.000], [0.000, 0.000, 6.422]], "species": ["Tb", "Tb", "Tb", "Tb", "Re", "Re", "Re", "Re", "Pd", "Pd", "Pd", "Pd"], "frac_coords": [[0.000, 0.000, 0.000], [0.000, 0.500, 0.500], [0.500, 0.000, 0.500], [0.500, 0.500, 0.000], [0.000, 0.000, 0.500], [0.000, 0.500, 0.000], [0.500, 0.000, 0.000], [0.500, 0.500, 0.500], [0.250, 0.250, 0.750], [0.250, 0.750, 0.250], [0.750, 0.250, 0.250], [0.750, 0.750, 0.750]]}

***

Record 8
{"formula": "Re2TcPd", "functional": "PBE", "state": "optimized geometry", "crystal_system": "cubic", "formation_energy_mev_per_atom": 327, "cell": [[6.211, 0.000, 0.000], [0.000, 6.211, 0.000], [0.000, 0.000, 6.211]], "species": ["Re", "Re", "Re", "Re", "Re", "Re", "Re", "Re", "Tc", "Tc", "Tc", "Tc", "Pd", "Pd", "Pd", "Pd"], "frac_coords": [[0.000, 0.000, 0.000], [0.000, 0.500, 0.500], [0.250, 0.250, 0.250], [0.250, 0.750, 0.750], [0.500, 0.000, 0.500], [0.500, 0.500, 0.000], [0.750, 0.250, 0.750], [0.750, 0.750, 0.250], [0.250, 0.250, 0.750], [0.250, 0.750, 0.250], [0.750, 0.250, 0.250], [0.750, 0.750, 0.750], [0.000, 0.000, 0.500], [0.000, 0.500, 0.000], [0.500, 0.000, 0.000], [0.500, 0.500, 0.500]]}